First-principles (PBE) data for an optimized crystal structure of Er6Sb2Rh, as listed in Alexandria.

Structure (CIF):
```
data_Er6Sb2Rh
_cell_length_a 6.719
_cell_length_b 6.719
_cell_length_c 13.378
_cell_angle_alpha 90.00
_cell_angle_beta 90.00
_cell_angle_gamma 90.00
_space_group_name_H-M_alt 'P 42/m n m'
_space_group_IT_number 136
_space_group_name_Hall '-P 4n 2n'
loop_
_atom_site_label
_atom_site_fract_x
_atom_site_fract_y
_atom_site_fract_z
_atom_site_occupancy
Er1 0.188 0.188 0.150 1
Er2 0.218 0.218 0.500 1
Sb1 0.000 0.000 0.333 1
Rh1 0.000 0.000 0.000 1
```

Properties
The raw total energy is -46.58 eV/f.u.